## YCd2Fe (GGA-PBE)

Data for a relaxed YCd2Fe crystal.

```
8
Lattice="4.389 0.000 0.000 0.000 4.389 0.000 0.000 0.000 8.685" Properties=species:S:1:pos:R:3 pbc="T T T"
Y 0.000 0.000 0.000
Y 2.194 2.194 4.342
Cd 0.000 2.194 2.171
Cd 0.000 2.194 6.513
Cd 2.194 0.000 2.171
Cd 2.194 0.000 6.513
Fe 0.000 0.000 4.342
Fe 2.194 2.194 0.000
```

Values from the calculation:
- ΔE_f (eV/atom) = 0.072
- V (Å³/atom) = 20.909
- electronic total energy (Ha/atom) = -0.1513

## ZnCd2Fe (GGA-PBE)

Data for a relaxed ZnCd2Fe crystal.

```
4
Lattice="3.981 0.000 0.000 0.000 4.122 0.000 0.000 0.000 4.133" Properties=species:S:1:pos:R:3 pbc="T T T"
Zn 0.000 0.000 0.000
Cd 1.991 0.000 2.066
Cd 1.991 2.061 0.000
Fe 0.000 2.061 2.066
```

Values from the calculation:
- ΔE_f (eV/atom) = 0.220
- V (Å³/atom) = 16.953
- electronic total energy (Ha/atom) = -0.0982

## ZnCdFe (GGA-PBE)

Data for a relaxed ZnCdFe crystal.

```
12
Lattice="3.999 0.000 0.000 0.000 4.007 0.000 0.000 0.000 11.785" Properties=species:S:1:pos:R:3 pbc="T T T"
Zn 0.000 0.000 0.000
Zn 0.000 2.003 5.893
Zn 1.999 0.000 5.893
Zn 1.999 2.003 0.000
Cd 0.000 0.000 8.110
Cd 0.000 2.003 2.217
Cd 1.999 0.000 2.217
Cd 1.999 2.003 8.110
Fe 0.000 0.000 4.240
Fe 0.000 2.003 10.133
Fe 1.999 0.000 10.133
Fe 1.999 2.003 4.240
```

Values from the calculation:
- ΔE_f (eV/atom) = 0.179
- V (Å³/atom) = 15.735
- offset from the most stable computed form (meV per atom) = 120.6
- electronic total energy (Ha/atom) = -0.1239

## Zn2CdFe (GGA-PBE)

Data for a relaxed Zn2CdFe crystal.

```
4
Lattice="2.769 0.000 0.000 0.000 2.769 0.000 0.000 0.000 8.132" Properties=species:S:1:pos:R:3 pbc="T T T"
Zn 0.000 0.000 1.726
Zn 0.000 0.000 6.405
Cd 1.385 1.385 4.066
Fe 1.385 1.385 0.000
```

Values from the calculation:
- ΔE_f (eV/atom) = 0.095
- V (Å³/atom) = 15.591
- electronic total energy (Ha/atom) = -0.1061

## ZnCd2Fe2 (GGA-PBE)

Data for a relaxed ZnCd2Fe2 crystal.

```
10
Lattice="6.206 0.000 0.000 0.000 6.206 0.000 0.000 0.000 4.239" Properties=species:S:1:pos:R:3 pbc="T T T"
Zn 0.000 0.000 0.000
Zn 3.103 3.103 0.000
Cd 1.078 2.025 2.119
Cd 2.025 5.128 2.119
Cd 4.181 1.078 2.119
Cd 5.128 4.181 2.119
Fe 0.778 3.881 0.000
Fe 2.325 0.778 0.000
Fe 3.881 5.428 0.000
Fe 5.428 2.325 0.000
```

Values from the calculation:
- ΔE_f (eV/atom) = 0.297
- V (Å³/atom) = 16.326
- electronic total energy (Ha/atom) = -0.1363

## ZnCd2Fe (GGA-PBE)

Data for a relaxed ZnCd2Fe crystal.

```
4
Lattice="2.883 0.000 0.000 0.000 2.883 0.000 0.000 0.000 8.301" Properties=species:S:1:pos:R:3 pbc="T T T"
Zn 0.000 0.000 0.000
Cd 0.000 0.000 4.714
Cd 1.441 1.441 2.197
Fe 1.441 1.441 6.687
```

Values from the calculation:
- ΔE_f (eV/atom) = 0.164
- V (Å³/atom) = 17.246
- electronic total energy (Ha/atom) = -0.1002

## Zn2CdFe (GGA-PBE)

Data for a relaxed Zn2CdFe crystal.

```
4
Lattice="2.775 0.000 0.000 0.000 2.775 0.000 0.000 0.000 8.063" Properties=species:S:1:pos:R:3 pbc="T T T"
Zn 0.000 0.000 0.000
Zn 1.388 1.388 1.932
Cd 0.000 0.000 4.242
Fe 1.388 1.388 6.318
```

Values from the calculation:
- ΔE_f (eV/atom) = 0.143
- V (Å³/atom) = 15.528
- electronic total energy (Ha/atom) = -0.1043

## Zn2CdFe (GGA-PBE)

Data for a relaxed Zn2CdFe crystal.

```
12
Lattice="2.801 0.000 0.000 -1.400 2.425 0.000 0.000 0.000 28.241" Properties=species:S:1:pos:R:3 pbc="T T T"
Zn 0.000 0.000 6.721
Zn 0.000 0.000 21.520
Zn 0.000 1.617 12.106
Zn 0.000 1.617 25.548
Zn 1.400 0.808 2.693
Zn 1.400 0.808 16.134
Cd 0.000 0.000 0.000
Cd 0.000 1.617 18.827
Cd 1.400 0.808 9.414
Fe 0.000 0.000 14.120
Fe 0.000 1.617 4.707
Fe 1.400 0.808 23.534
```

Values from the calculation:
- ΔE_f (eV/atom) = 0.139
- V (Å³/atom) = 15.984
- electronic total energy (Ha/atom) = -0.1045

## ZnCdFe (GGA-PBE)

Data for a relaxed ZnCdFe crystal.

```
3
Lattice="2.838 0.000 0.000 -1.419 2.458 0.000 0.000 0.000 6.883" Properties=species:S:1:pos:R:3 pbc="T T T"
Zn 0.000 0.000 0.000
Cd 0.000 1.639 2.538
Fe 1.419 0.819 4.867
```

Values from the calculation:
- ΔE_f (eV/atom) = 0.237
- V (Å³/atom) = 16.007
- offset from the most stable computed form (meV per atom) = 178.7
- electronic total energy (Ha/atom) = -0.1218

## ZnCdFe3 (GGA-PBE)

Data for a relaxed ZnCdFe3 crystal.

```
5
Lattice="4.440 0.000 0.000 0.000 4.440 0.000 0.000 0.000 4.440" Properties=species:S:1:pos:R:3 pbc="T T T"
Zn 0.000 0.000 0.000
Cd 2.220 2.220 2.220
Fe 0.000 0.000 2.220
Fe 0.000 2.220 0.000
Fe 2.220 0.000 0.000
```

Values from the calculation:
- ΔE_f (eV/atom) = 1.006
- V (Å³/atom) = 17.509
- offset from the most stable computed form (meV per atom) = 0.0
- electronic total energy (Ha/atom) = -0.1657

## ZnCdFe3 (GGA-PBE)

Data for a relaxed ZnCdFe3 crystal.

```
5
Lattice="4.762 0.000 0.000 0.000 4.762 0.000 0.000 0.000 4.762" Properties=species:S:1:pos:R:3 pbc="T T T"
Zn 0.000 0.000 0.000
Cd 2.381 2.381 2.381
Fe 0.000 2.381 2.381
Fe 2.381 0.000 2.381
Fe 2.381 2.381 0.000
```

Values from the calculation:
- ΔE_f (eV/atom) = 1.649
- V (Å³/atom) = 21.603
- offset from the most stable computed form (meV per atom) = 643.2
- electronic total energy (Ha/atom) = -0.1421

## Zn2CdFe (GGA-PBE)

Data for a relaxed Zn2CdFe crystal.

```
4
Lattice="2.750 0.000 0.000 0.000 4.343 0.000 -0.795 0.000 5.201" Properties=species:S:1:pos:R:3 pbc="T T T"
Zn 0.416 0.000 1.469
Zn 1.539 0.000 3.732
Cd 1.375 2.171 0.000
Fe -0.397 2.171 2.601
```

Values from the calculation:
- ΔE_f (eV/atom) = 0.178
- V (Å³/atom) = 15.529
- electronic total energy (Ha/atom) = -0.1030

## ZnCdFe4 (GGA-PBE)

Data for a relaxed ZnCdFe4 crystal.

```
6
Lattice="0.000 3.465 3.465 3.465 0.000 3.465 3.465 3.465 0.000" Properties=species:S:1:pos:R:3 pbc="T T T"
Zn 0.000 0.000 0.000
Cd 5.198 5.198 5.198
Fe 2.594 2.594 2.594
Fe 4.336 4.336 2.594
Fe 4.336 2.594 4.336
Fe 2.594 4.336 4.336
```

Values from the calculation:
- ΔE_f (eV/atom) = 0.230
- V (Å³/atom) = 13.869
- electronic total energy (Ha/atom) = -0.2123

## ZnCd2Fe (GGA-PBE)

Data for a relaxed ZnCd2Fe crystal.

```
4
Lattice="2.882 0.000 0.000 0.000 4.065 0.000 0.000 0.000 5.879" Properties=species:S:1:pos:R:3 pbc="T T T"
Zn 0.000 0.000 0.000
Cd 1.441 2.033 1.514
Cd 1.441 2.033 4.364
Fe 0.000 0.000 2.939
```

Values from the calculation:
- ΔE_f (eV/atom) = 0.273
- V (Å³/atom) = 17.218
- electronic total energy (Ha/atom) = -0.0963